(1)
Computed, not measured: Tb3NdHo after structural relaxation at the GGA-PBE level of DFT.

extended XYZ file:
```
10
Lattice="6.314 0.000 0.000 0.000 5.712 0.000 -3.143 0.000 9.106" Properties=species:S:1:pos:R:3 pbc="T T T"
Tb 0.543 1.428 0.891
Tb -0.517 4.284 6.395
Tb 0.547 1.428 4.560
Tb 2.625 4.284 4.546
Tb 3.689 1.428 2.711
Tb 2.629 4.284 8.216
Nd -0.511 4.284 2.732
Nd 3.683 1.428 6.374
Ho 2.636 4.284 0.900
Ho 0.536 1.428 8.207
```

Energy of formation (eV per atom): 0.02



(2)
Computed, not measured: MgSiBi2W after structural relaxation at the GGA-PBE level of DFT.

extended XYZ file:
```
5
Lattice="5.456 0.000 0.000 0.000 5.456 0.000 0.000 0.000 4.727" Properties=species:S:1:pos:R:3 pbc="T T T"
Mg 0.000 0.000 0.000
Si 0.000 0.000 2.364
Bi 0.000 2.728 2.364
Bi 2.728 0.000 2.364
W 2.728 2.728 0.000
```

Formation energy without anion corrections (eV/atom): 1.40



(3)
Computed, not measured: TlAuBr5 after structural relaxation at the GGA-PBE level of DFT.

extended XYZ file:
```
14
Lattice="5.696 -6.294 0.000 5.696 6.294 0.000 -4.812 0.000 7.492" Properties=species:S:1:pos:R:3 pbc="T T T"
Tl 2.848 3.147 0.000
Tl 0.442 -3.147 3.746
Au 2.087 5.239 5.619
Au 4.493 -5.239 1.873
Br 0.355 3.434 5.644
Br -1.794 0.678 5.743
Br 0.612 -0.678 1.997
Br 4.493 1.788 1.873
Br 3.819 3.434 5.594
Br 2.761 -3.434 1.898
Br 2.087 -1.788 5.619
Br 5.968 0.678 5.495
Br 8.374 -0.678 1.749
Br 6.225 -3.434 1.848
```

Formation energy without anion corrections (eV/atom): -0.28



(4)
Computed, not measured: KTmIr2O8 after structural relaxation at the GGA-PBE level of DFT.

extended XYZ file:
```
12
Lattice="5.913 0.000 0.000 -2.957 5.121 0.000 0.000 0.000 7.633" Properties=species:S:1:pos:R:3 pbc="T T T"
K 0.000 0.000 0.000
Tm 0.000 0.000 3.817
Ir 0.000 3.414 5.877
Ir 2.957 1.707 1.756
O -0.032 1.709 5.192
O -1.461 4.294 5.192
O 0.000 3.414 0.026
O 1.464 0.882 2.441
O 1.492 4.239 5.192
O 2.957 1.707 7.607
O 4.417 0.827 2.441
O 2.988 3.412 2.441
```

Formation energy without anion corrections (eV/atom): -1.17



(5)
Computed, not measured: EuErAgIr after structural relaxation at the GGA-PBE level of DFT.

extended XYZ file:
```
4
Lattice="0.000 3.546 3.546 3.546 0.000 3.546 3.546 3.546 0.000" Properties=species:S:1:pos:R:3 pbc="T T T"
Eu 0.000 0.000 0.000
Er 3.546 3.546 3.546
Ag 1.773 1.773 1.773
Ir 5.318 5.318 5.318
```

Energy of formation (eV per atom): -0.43



(6)
Computed, not measured: Ce2NdTl2 after structural relaxation at the GGA-PBE level of DFT.

extended XYZ file:
```
5
Lattice="2.823 -3.619 0.000 2.823 3.619 0.000 0.000 0.000 7.430" Properties=species:S:1:pos:R:3 pbc="T T T"
Ce 2.823 2.306 0.000
Ce 2.823 -2.306 0.000
Nd 0.000 0.000 3.715
Tl 2.823 0.000 2.134
Tl 2.823 0.000 5.296
```

Energy of formation (eV per atom): -0.02



(7)
Computed, not measured: Ho5Pu3Se8 after structural relaxation at the GGA-PBE level of DFT.

extended XYZ file:
```
16
Lattice="4.076 2.353 6.712 -4.076 2.353 6.712 0.000 -4.706 6.712" Properties=species:S:1:pos:R:3 pbc="T T T"
Ho 0.000 0.000 0.000
Ho -2.038 -1.177 6.712
Ho -2.038 1.177 13.423
Ho 0.000 2.353 6.712
Ho 0.000 0.000 10.067
Pu -4.076 0.000 10.067
Pu -2.038 1.177 3.356
Pu 2.038 1.177 3.356
Se 0.000 -2.331 8.358
Se -2.019 1.166 8.358
Se 0.000 0.000 5.078
Se -2.019 -1.166 11.777
Se 2.019 1.166 8.358
Se 0.000 0.000 15.057
Se 2.019 -1.166 11.777
Se 0.000 2.331 11.777
```

Formation energy without anion corrections (eV/atom): -1.68



(8)
Computed, not measured: NdErAl2S6 after structural relaxation at the GGA-PBE level of DFT.

extended XYZ file:
```
10
Lattice="3.310 1.911 5.505 -3.310 1.911 5.505 0.000 -3.822 5.505" Properties=species:S:1:pos:R:3 pbc="T T T"
Nd 0.000 0.000 0.000
Er 0.000 0.000 8.495
Al 0.000 0.000 3.701
Al 0.000 0.000 12.031
S -2.588 0.063 7.693
S -0.598 -1.844 10.435
S 1.240 -2.273 7.693
S -1.298 1.440 10.435
S 1.348 2.210 7.693
S 1.896 0.404 10.435
```

Formation energy without anion corrections (eV/atom): -1.46